Density functional theory data (PBE) for crystalline LaSmBiSb at its relaxed geometry.

The structure in POSCAR format:
```
LaSmBiSb
1.0
2.297 1.326 7.488
-2.297 1.326 7.488
0.000 -2.652 7.488
La Sm Bi Sb
1 1 1 1
Direct
0.000 0.000 0.000 La
0.496 0.496 0.496 Sm
0.246 0.246 0.246 Bi
0.751 0.751 0.751 Sb
```

symmetry: R3m, No. 160
total moment: 0.0000 μB/atom
formation energy without anion corrections: -1108 meV/atom
Fermi-level density of states: 0.60 states/eV per cell